Density functional theory data (meta-GGA SCAN) for a PBEsol-optimized structure of CaSbPtI2.

Unit cell a=5.445 b=5.445 c=5.265 alpha=90.00 beta=90.00 gamma=90.00
Element x y z (fractional)
Ca 0.000 0.000 0.000
Sb 0.500 0.500 0.000
Pt 0.500 0.500 0.500
I 0.000 0.500 0.500
I 0.500 0.000 0.500

Calculated values
Formation energy from raw total energies, eV/atom: -0.287
N(E_F), states/eV/cell: 2.8
Calculated volume, Å³/cell: 156.11
Symmetry: P4/mmm (123)
E, hartree per atom: -1.411
Crystal system: tetragonal